A plane-wave DFT calculation with PBE was carried out for a geometry-optimized RePbI2 structure.

The structure in POSCAR format:
```
RePbI2
1.0
0.586 -5.023 -1.875
-3.811 -2.167 -3.143
0.974 -0.826 -5.241
Pb Re I
1 1 2
direct
0.500 0.500 0.500
0.000 0.000 0.000
0.250 0.250 0.250
0.750 0.750 0.750
```

Calculated values
energy above the most stable polymorph in this dataset	247.3	kJ/mol of formula units
formation energy from raw total energies	1.2405	eV per atom
D(E_F)	0.515	states/eV/atom
magnetic moment	3.2	μB/f.u.

---

A plane-wave DFT calculation with PBE was carried out for a geometry-optimized NdZn10Cu2 structure.

The structure in POSCAR format:
```
NdZn10Cu2
1.0
-2.202 2.918 -3.388
1.645 -1.894 -6.366
-6.135 -2.488 -1.821
Nd Zn Cu
1 10 2
direct
0.000 0.000 0.000
0.353 0.638 0.655
0.647 0.362 0.345
0.991 0.362 0.655
0.009 0.638 0.345
0.000 0.000 0.500
0.500 0.000 0.500
0.279 0.227 0.215
0.721 0.773 0.785
0.506 0.773 0.215
0.494 0.227 0.785
0.000 0.500 0.000
0.500 0.500 0.000
```

Calculated values
formation energy from the elements	-0.20	eV per atom
D(E_F)	0.303	states/eV/atom
magnetic moment	0.0	μB/f.u.

---

A plane-wave DFT calculation with PBE was carried out for a geometry-optimized LaZrW2 structure.

The structure in POSCAR format:
```
LaZrW2
1.0
-4.162 -1.239 2.452
-0.400 -4.130 -2.766
1.817 -1.674 2.238
La W Zr
1 2 1
direct
0.000 0.500 0.500
0.000 0.000 0.000
0.500 0.500 0.000
0.500 0.000 0.500
```

Calculated values
formation energy from the elements	0.79	eV per atom
energy above the most stable polymorph in this dataset	206.9	kJ/mol of formula units
D(E_F)	1.950	states/eV/atom
magnetic moment	0.0	μB/f.u.

---

A plane-wave DFT calculation with PBE was carried out for a geometry-optimized CdH2OsO6 structure.

The structure in POSCAR format:
```
CdH2OsO6
1.0
5.184 -0.131 0.040
-2.707 4.665 -0.018
-2.515 -1.463 4.885
Cd H Os O
1 2 1 6
direct
0.957 0.487 0.475
0.609 0.733 0.196
0.590 0.441 0.735
0.996 0.022 0.982
0.538 0.863 0.777
0.381 0.033 0.190
0.826 0.765 0.226
0.120 0.346 0.203
0.828 0.595 0.772
0.120 0.193 0.747
```

Calculated values
energy	-5.794	eV/atom
magnetic moment	0.0	μB/f.u.

---

A plane-wave DFT calculation with PBE was carried out for a geometry-optimized RbSnF2 structure.

The structure in POSCAR format:
```
RbSnF2
1.0
4.600 -1.254 -1.087
1.613 -4.502 1.020
0.881 -3.162 -3.625
Sn Rb F
1 1 2
direct
0.500 0.500 0.500
0.000 0.000 0.000
0.250 0.250 0.250
0.750 0.750 0.750
```

Calculated values
energy above the most stable polymorph in this dataset	222.0	kJ/mol of formula units
formation energy from raw total energies	-1.4951	eV per atom
D(E_F)	0.277	states/eV/atom
magnetic moment	0.9	μB/f.u.

---

A plane-wave DFT calculation with PBE was carried out for a geometry-optimized NaTcSnO5 structure.

The structure in POSCAR format:
```
NaTcSnO5
1.0
-5.329 -0.747 -2.486
4.017 -2.540 -3.542
-0.242 -4.653 5.762
Na Tc Sn O
2 2 2 10
direct
0.321 0.679 0.250
0.679 0.321 0.750
0.679 0.321 0.250
0.321 0.679 0.750
0.000 0.000 0.500
0.000 0.000 0.000
0.081 0.919 0.250
0.919 0.081 0.750
0.917 0.317 0.125
0.083 0.683 0.875
0.683 0.083 0.375
0.317 0.917 0.625
0.752 0.616 0.434
0.248 0.384 0.566
0.384 0.248 0.066
0.616 0.752 0.934
```

Calculated values
formation energy from raw total energies	-1.4480	eV per atom
D(E_F)	0.393	states/eV/atom
magnetic moment	1.7	μB/f.u.

---

A plane-wave DFT calculation with PBE was carried out for a geometry-optimized TlAg5Pd6 structure.

The structure in POSCAR format:
```
TlAg5Pd6
1.0
7.971 0.360 0.000
2.444 3.856 0.000
1.222 1.928 6.834
Tl Ag Pd
1 5 6
direct
0.000 0.000 0.000
0.500 0.167 0.667
0.000 0.329 0.342
0.500 0.500 0.000
0.000 0.671 0.658
0.500 0.833 0.333
0.748 0.087 0.332
0.252 0.582 0.332
0.248 0.252 0.000
0.752 0.748 0.000
0.748 0.418 0.668
0.252 0.913 0.668
```

Calculated values
formation energy from the elements	-0.08	eV per atom
energy above the most stable polymorph in this dataset	5.6	kJ/mol of formula units
D(E_F)	0.192	states/eV/atom
magnetic moment	0.0	μB/f.u.

---

A plane-wave DFT calculation with PBE was carried out for a geometry-optimized Tm8Zn2Ir structure.

The structure in POSCAR format:
```
Tm8Zn2Ir
1.0
-3.215 -3.435 -1.833
4.387 -4.844 1.385
-3.402 2.696 7.869
Tm Zn Ir
8 2 1
direct
0.410 0.564 0.819
0.660 0.968 0.320
0.799 0.685 0.597
0.973 0.213 0.947
0.201 0.315 0.403
0.340 0.032 0.680
0.590 0.436 0.181
0.027 0.787 0.053
0.815 0.280 0.631
0.185 0.720 0.369
0.500 0.000 0.000
```

Calculated values
formation energy from the elements	-0.31	eV per atom
energy above the most stable polymorph in this dataset	0.0	kJ/mol of formula units
D(E_F)	0.730	states/eV/atom
magnetic moment	0.0	μB/f.u.

---

A plane-wave DFT calculation with PBE was carried out for a geometry-optimized Ac2EuNi structure.

The structure in POSCAR format:
```
Ac2EuNi
1.0
-3.101 1.654 2.279
-3.919 -0.003 -1.480
-3.946 -8.345 4.536
Eu Ni Ac
1 1 2
direct
0.500 0.500 0.500
0.000 0.000 0.000
0.722 0.722 0.834
0.278 0.278 0.166
```

Calculated values
formation energy from the elements	-0.10	eV per atom
energy above the most stable polymorph in this dataset	0.0	kJ/mol of formula units
D(E_F)	0.927	states/eV/atom
magnetic moment	8.1	μB/f.u.

---

A plane-wave DFT calculation with PBE was carried out for a geometry-optimized NaMgTlSe3 structure.

The structure in POSCAR format:
```
NaMgTlSe3
1.0
4.031 0.000 0.000
0.000 8.010 -0.381
0.000 -2.764 11.401
Na Mg Tl Se
2 2 2 6
direct
0.250 0.202 0.160
0.750 0.798 0.840
0.250 0.644 0.091
0.750 0.356 0.909
0.250 0.107 0.634
0.750 0.893 0.366
0.750 0.911 0.147
0.250 0.089 0.853
0.250 0.766 0.471
0.750 0.234 0.529
0.750 0.452 0.140
0.250 0.548 0.860
```

Calculated values
formation energy from raw total energies	-0.7231	eV per atom
D(E_F)	0.000	states/eV/atom
magnetic moment	0.0	μB/f.u.